The following is a DFT calculation (GGA-PBE) of crystalline MnCN at its relaxed geometry.

Calculated values
For the energy relative to the elements, uncorrected, the calculation gives 0.35 eV per atom. For the total magnetization, the calculation gives 0.0001 μB/atom.

Cell: 2.7054 4.2144 2.7054 Å, 71.28 90.00 108.72°
Closest atoms and distances in Å follow each position.
Element x y z (fractional)
C (0.5270, 0.0539, 0.4730)  1 N 1.29
Mn (0.9249, 0.8497, 0.0751)  1 N 1.70
N (0.6982, 0.3964, 0.3018)  1 C 1.29